(1)
DFT (SCAN) results for Y2OsCl at its PBEsol-relaxed geometry.

```
Y2OsCl
1.0
4.899 0.000 0.000
0.000 4.552 0.000
-1.759 0.000 7.961
Y Os Cl
4 2 2
Cartesian
0.030 0.000 1.664
0.661 2.276 6.297
2.480 2.276 1.664
3.110 0.000 6.297
0.000 2.276 0.000
2.450 0.000 0.000
-0.879 2.276 3.981
1.570 0.000 3.981
```

Results
Formation energy (no corrections) = -1.04 eV/atom
Total magnetic moment = 0.0 μB per formula unit
Space group = C2/m
Energy = -34.925 eV/atom

---

(2)
DFT (SCAN) results for YFe2Se at its PBEsol-relaxed geometry.

```
YFe2Se
1.0
3.913 0.000 0.000
-1.956 3.388 0.000
0.000 0.000 14.653
Y Fe Se
3 6 3
Cartesian
0.000 0.000 0.000
0.000 2.259 9.769
1.956 1.129 4.884
0.000 0.000 7.107
0.000 0.000 11.641
0.000 2.259 2.223
0.000 2.259 6.756
1.956 1.129 1.872
1.956 1.129 11.992
0.000 0.000 3.029
0.000 2.259 12.798
1.956 1.129 7.913
```

Results
Formation energy (no corrections) = -0.35 eV/atom
Total magnetic moment = 3.4 μB per formula unit
Space group = R3m
Energy = -21.396 eV/atom

---

(3)
DFT (SCAN) results for MnAlCu2 at its PBEsol-relaxed geometry.

```
MnAlCu2
1.0
4.135 0.000 0.000
0.000 4.135 0.000
0.000 0.000 5.813
Mn Al Cu
2 2 4
Cartesian
0.000 0.000 0.000
2.067 2.067 2.907
0.000 0.000 2.907
2.067 2.067 0.000
0.000 2.067 1.453
0.000 2.067 4.360
2.067 0.000 1.453
2.067 0.000 4.360
```

Results
Total magnetic moment = 3.8 μB per formula unit
Space group = I4/mmm
Energy = -14.439 eV/atom